[1]
Computed, not measured: HgSb2TeCl after structural relaxation at the PBE level of DFT.

Calculated values
As for the total energy: -9.955 eV per formula unit. The value obtained for the theoretical density is 6.2 g/cm³. The calculation puts the density of states at the Fermi level at 5.609 states/eV/cell.

Unit cell a=5.3500 b=5.3500 c=5.6975 alpha=90.00 beta=90.00 gamma=90.00
Element x y z (fractional)
Hg 0.0000 0.0000 0.0000
Sb 0.0000 0.5000 0.5000
Sb 0.5000 0.0000 0.5000
Te 0.5000 0.5000 0.0000
Cl 0.5000 0.5000 0.5000

---

[2]
Computed, not measured: HgSb2TeCl after structural relaxation at the PBE level of DFT.

Calculated values
As for the total energy: -10.236 eV per formula unit. The value obtained for the theoretical density is 5.7 g/cm³. The calculation puts the density of states at the Fermi level at 5.535 states/eV/cell.

Unit cell a=5.6283 b=5.6283 c=5.5854 alpha=90.00 beta=90.00 gamma=90.00
Element x y z (fractional)
Hg 0.0000 0.0000 0.0000
Sb 0.0000 0.5000 0.0000
Sb 0.5000 0.0000 0.0000
Te 0.0000 0.0000 0.5000
Cl 0.5000 0.5000 0.5000

---

[3]
Computed, not measured: TlHgSbCl6 after structural relaxation at the PBE level of DFT.

Calculated values
As for the total energy: -25.138 eV per formula unit. The value obtained for the theoretical density is 4.1 g/cm³. The calculation puts the density of states at the Fermi level at 0.000 states/eV/cell.

Unit cell a=7.0400 b=7.0400 c=13.9649 alpha=90.00 beta=90.00 gamma=120.00
Element x y z (fractional)
Tl 0.0000 0.0000 0.0000
Tl 0.0000 0.0000 0.5000
Hg 0.3333 0.6667 0.2500
Hg 0.6667 0.3333 0.7500
Sb 0.3333 0.6667 0.7500
Sb 0.6667 0.3333 0.2500
Cl 0.0038 0.3717 0.6401
Cl 0.0038 0.6321 0.8599
Cl 0.3679 0.3717 0.8599
Cl 0.3679 0.9962 0.6401
Cl 0.3717 0.0038 0.1401
Cl 0.3717 0.3679 0.3599
Cl 0.6283 0.6321 0.6401
Cl 0.6283 0.9962 0.8599
Cl 0.6321 0.0038 0.3599
Cl 0.6321 0.6283 0.1401
Cl 0.9962 0.3679 0.1401
Cl 0.9962 0.6283 0.3599

---

[4]
Computed, not measured: YHgSbCl2 after structural relaxation at the PBE level of DFT.

Calculated values
As for the total energy: -14.737 eV per formula unit. The value obtained for the theoretical density is 5.0 g/cm³. The calculation puts the density of states at the Fermi level at 4.233 states/eV/cell.

Unit cell a=5.2717 b=5.2717 c=5.8188 alpha=90.00 beta=90.00 gamma=90.00
Element x y z (fractional)
Y 0.0000 0.0000 0.0000
Hg 0.5000 0.5000 0.0000
Sb 0.5000 0.5000 0.5000
Cl 0.0000 0.5000 0.5000
Cl 0.5000 0.0000 0.5000

---

[5]
Computed, not measured: Sc4HgCl after structural relaxation at the PBE level of DFT.

Calculated values
As for the total energy: -26.154 eV per formula unit. The value obtained for the theoretical density is 4.7 g/cm³. The calculation puts the density of states at the Fermi level at 9.051 states/eV/cell.

Unit cell a=5.9357 b=5.9357 c=5.9357 alpha=60.00 beta=60.00 gamma=60.00
Element x y z (fractional)
Sc 0.3771 0.3771 0.3771
Sc 0.3771 0.3771 0.8686
Sc 0.3771 0.8686 0.3771
Sc 0.8686 0.3771 0.3771
Hg 0.7500 0.7500 0.7500
Cl 0.0000 0.0000 0.0000

---

[6]
Computed, not measured: ScHgCl4 after structural relaxation at the PBE level of DFT.

Calculated values
As for the total energy: -14.182 eV per formula unit. The value obtained for the theoretical density is 4.5 g/cm³. The calculation puts the density of states at the Fermi level at 5.959 states/eV/cell.

Unit cell a=5.8596 b=5.8596 c=5.8596 alpha=60.00 beta=60.00 gamma=60.00
Element x y z (fractional)
Sc 0.0000 0.0000 0.0000
Hg 0.2500 0.2500 0.2500
Cl 0.1236 0.6255 0.6255
Cl 0.6255 0.1236 0.6255
Cl 0.6255 0.6255 0.1236
Cl 0.6255 0.6255 0.6255

---

The highest theoretical density belongs to which entry?
number 1